## a
Below is crystalline Ba3GaPb at its relaxed geometry, with properties calculated at the PBE level.

a b c (Å): 6.2947 6.2947 6.2947
angles (deg): 90.00 90.00 90.00
Closest atoms and distances in Å follow each position.
Positions (direct):
Ba1 0.0000 0.0000 0.5000  2 Ga 3.15
Ba2 0.0000 0.5000 0.0000  2 Ga 3.15
Ba3 0.5000 0.0000 0.0000  2 Ga 3.15
Ga1 0.0000 0.0000 0.0000  6 Ba 3.15
Pb1 0.5000 0.5000 0.5000  12 Ba 4.45

Values from the calculation:
Crystal system: cubic
N(E_F) in states/eV per cell: 12.17



## b
Below is crystalline Ba3GaPb at its relaxed geometry, with properties calculated at the PBE level.

a b c (Å): 10.1251 10.1251 10.2010
angles (deg): 93.16 93.16 24.85
Closest atoms and distances in Å follow each position.
Positions (direct):
Ba1 0.0446 0.0446 0.1713  4 Pb 3.69-3.85, 1 Ba 3.83
Ba2 0.2517 0.2517 0.8090  3 Ga 3.52-3.64, 3 Pb 3.73-3.77
Ba3 0.3940 0.3940 0.4392  3 Ga 3.37-3.43, 1 Pb 3.63
Ba4 0.6060 0.6060 0.5608  3 Ga 3.37-3.43, 1 Pb 3.63
Ba5 0.7483 0.7483 0.1910  3 Ga 3.52-3.64, 3 Pb 3.73-3.77
Ba6 0.9554 0.9554 0.8287  4 Pb 3.69-3.85, 1 Ba 3.83
Ga1 0.2210 0.2210 0.4542  2 Ga 2.61
Ga2 0.7790 0.7790 0.5458  2 Ga 2.61
Pb1 0.3881 0.3881 0.0827  8 Ba 3.63-3.85
Pb2 0.6119 0.6119 0.9173  8 Ba 3.63-3.85

Values from the calculation:
Crystal system: monoclinic
N(E_F) in states/eV per cell: 5.91



Which structure is the least stable? The one labeled a.



## a
Below is crystalline Ba3Ga2Pd3 at its relaxed geometry, with properties calculated at the PBE level.

a b c (Å): 8.4070 15.7860 6.7287
angles (deg): 90.00 90.00 90.00
Closest atoms and distances in Å follow each position.
Positions (direct):
Ba1 0.0060 0.1072 0.1490  4 Pd 3.14-3.50, 1 Ga 3.47
Ba2 0.0060 0.3928 0.1490  4 Pd 3.14-3.50, 1 Ga 3.47
Ba3 0.1487 0.2500 0.6189  4 Pd 3.12-3.30, 2 Ga 3.48
Ba4 0.3513 0.7500 0.1189  4 Pd 3.12-3.30, 2 Ga 3.48
Ba5 0.4940 0.6072 0.6490  4 Pd 3.14-3.50, 1 Ga 3.47
Ba6 0.4940 0.8928 0.6490  4 Pd 3.14-3.50, 1 Ga 3.47
Ba7 0.5060 0.1072 0.3510  4 Pd 3.14-3.50, 1 Ga 3.47
Ba8 0.5060 0.3928 0.3510  4 Pd 3.14-3.50, 1 Ga 3.47
Ba9 0.6487 0.2500 0.8811  4 Pd 3.12-3.30, 2 Ga 3.48
Ba10 0.8513 0.7500 0.3811  4 Pd 3.12-3.30, 2 Ga 3.48
Ba11 0.9940 0.6072 0.8510  4 Pd 3.14-3.50, 1 Ga 3.47
Ba12 0.9940 0.8928 0.8510  4 Pd 3.14-3.50, 1 Ga 3.47
Ga1 0.1509 0.5889 0.3661  4 Pd 2.58-2.84
Ga2 0.1509 0.9111 0.3661  4 Pd 2.58-2.84
Ga3 0.3491 0.0889 0.8661  4 Pd 2.58-2.84
Ga4 0.3491 0.4111 0.8661  4 Pd 2.58-2.84
Ga5 0.6509 0.5889 0.1339  4 Pd 2.58-2.84
Ga6 0.6509 0.9111 0.1339  4 Pd 2.58-2.84
Ga7 0.8491 0.0889 0.6339  4 Pd 2.58-2.84
Ga8 0.8491 0.4111 0.6339  4 Pd 2.58-2.84
Pd1 0.1452 0.0410 0.6033  3 Ga 2.58-2.61
Pd2 0.1452 0.4590 0.6033  3 Ga 2.58-2.61
Pd3 0.1987 0.7500 0.5458  2 Ga 2.84, 2 Ba 3.12-3.15
Pd4 0.3013 0.2500 0.0458  2 Ga 2.84, 2 Ba 3.12-3.15
Pd5 0.3548 0.5410 0.1033  3 Ga 2.58-2.61
Pd6 0.3548 0.9590 0.1033  3 Ga 2.58-2.61
Pd7 0.6452 0.0410 0.8967  3 Ga 2.58-2.61
Pd8 0.6452 0.4590 0.8967  3 Ga 2.58-2.61
Pd9 0.6987 0.7500 0.9542  2 Ga 2.84, 2 Ba 3.12-3.15
Pd10 0.8013 0.2500 0.4542  2 Ga 2.84, 2 Ba 3.12-3.15
Pd11 0.8548 0.5410 0.3967  3 Ga 2.58-2.61
Pd12 0.8548 0.9590 0.3967  3 Ga 2.58-2.61

Values from the calculation:
Crystal system: orthorhombic
N(E_F) in states/eV per cell: 18.07



## b
Below is crystalline Ba3Ga2Pd3 at its relaxed geometry, with properties calculated at the PBE level.

a b c (Å): 6.6023 6.6023 16.1055
angles (deg): 90.00 90.00 139.09
Closest atoms and distances in Å follow each position.
Positions (direct):
Ba1 0.0805 0.9195 0.6054  5 Pd 3.18-3.55, 2 Ga 3.48
Ba2 0.0805 0.9195 0.8946  5 Pd 3.18-3.55, 2 Ga 3.48
Ba3 0.3670 0.6330 0.7500  4 Pd 3.18-3.51, 4 Ga 3.46
Ba4 0.6330 0.3670 0.2500  4 Pd 3.18-3.51, 4 Ga 3.46
Ba5 0.9195 0.0805 0.1054  5 Pd 3.18-3.55, 2 Ga 3.48
Ba6 0.9195 0.0805 0.3946  5 Pd 3.18-3.55, 2 Ga 3.48
Ga1 0.2094 0.7906 0.1012  4 Pd 2.57-2.70
Ga2 0.2094 0.7906 0.3988  4 Pd 2.57-2.70
Ga3 0.7906 0.2094 0.6012  4 Pd 2.57-2.70
Ga4 0.7906 0.2094 0.8988  4 Pd 2.57-2.70
Pd1 0.3100 0.6900 0.2500  2 Ga 2.70
Pd2 0.3204 0.6796 0.5348  3 Ga 2.57-2.59
Pd3 0.3204 0.6796 0.9652  3 Ga 2.57-2.59
Pd4 0.6796 0.3204 0.0348  3 Ga 2.57-2.59
Pd5 0.6796 0.3204 0.4652  3 Ga 2.57-2.59
Pd6 0.6900 0.3100 0.7500  2 Ga 2.70

Values from the calculation:
Crystal system: orthorhombic
N(E_F) in states/eV per cell: 8.24



Which structure is the least stable? The one labeled b.



## a
Below is crystalline Ba3Ga3Pd2 at its relaxed geometry, with properties calculated at the PBE level.

a b c (Å): 6.5268 6.5268 16.7504
angles (deg): 90.00 90.00 140.31
Closest atoms and distances in Å follow each position.
Positions (direct):
Ba1 0.0545 0.9455 0.6039  3 Pd 3.40-3.56, 7 Ga 3.47-3.80, 1 Ba 3.73
Ba2 0.0545 0.9455 0.8961  3 Pd 3.40-3.56, 7 Ga 3.47-3.80, 1 Ba 3.73
Ba3 0.3498 0.6502 0.7500  4 Ga 3.29-3.61, 4 Pd 3.40
Ba4 0.6502 0.3498 0.2500  4 Ga 3.29-3.61, 4 Pd 3.40
Ba5 0.9455 0.0545 0.1039  3 Pd 3.40-3.56, 7 Ga 3.47-3.80, 1 Ba 3.73
Ba6 0.9455 0.0545 0.3961  3 Pd 3.40-3.56, 7 Ga 3.47-3.80, 1 Ba 3.73
Ga1 0.3215 0.6785 0.5355  3 Pd 2.63-2.65
Ga2 0.3215 0.6785 0.9645  3 Pd 2.63-2.65
Ga3 0.3486 0.6514 0.2500  2 Pd 2.73
Ga4 0.6514 0.3486 0.7500  2 Pd 2.73
Ga5 0.6785 0.3215 0.0355  3 Pd 2.63-2.65
Ga6 0.6785 0.3215 0.4645  3 Pd 2.63-2.65
Pd1 0.2355 0.7645 0.1094  4 Ga 2.63-2.73
Pd2 0.2355 0.7645 0.3906  4 Ga 2.63-2.73
Pd3 0.7645 0.2355 0.6094  4 Ga 2.63-2.73
Pd4 0.7645 0.2355 0.8906  4 Ga 2.63-2.73

Values from the calculation:
Crystal system: orthorhombic
N(E_F) in states/eV per cell: 12.57



## b
Below is crystalline Ba3Ga3Pd2 at its relaxed geometry, with properties calculated at the PBE level.

a b c (Å): 8.6851 16.2465 6.3454
angles (deg): 90.00 90.00 90.00
Closest atoms and distances in Å follow each position.
Positions (direct):
Ba1 0.0345 0.1073 0.1119  3 Pd 3.30-3.54, 7 Ga 3.44-3.68
Ba2 0.0345 0.3927 0.1119  3 Pd 3.30-3.54, 7 Ga 3.44-3.68
Ba3 0.1822 0.2500 0.5842  5 Ga 3.19-3.57, 2 Pd 3.54
Ba4 0.3178 0.7500 0.0842  5 Ga 3.19-3.57, 2 Pd 3.54
Ba5 0.4655 0.6073 0.6119  3 Pd 3.30-3.54, 7 Ga 3.44-3.68
Ba6 0.4655 0.8927 0.6119  3 Pd 3.30-3.54, 7 Ga 3.44-3.68
Ba7 0.5345 0.1073 0.3881  3 Pd 3.30-3.54, 7 Ga 3.44-3.68
Ba8 0.5345 0.3927 0.3881  3 Pd 3.30-3.54, 7 Ga 3.44-3.68
Ba9 0.6822 0.2500 0.9158  5 Ga 3.19-3.57, 2 Pd 3.54
Ba10 0.8178 0.7500 0.4158  5 Ga 3.19-3.57, 2 Pd 3.54
Ba11 0.9655 0.6073 0.8881  3 Pd 3.30-3.54, 7 Ga 3.44-3.68
Ba12 0.9655 0.8927 0.8881  3 Pd 3.30-3.54, 7 Ga 3.44-3.68
Ga1 0.1613 0.0395 0.6027  3 Pd 2.62-2.68
Ga2 0.1613 0.4605 0.6027  3 Pd 2.62-2.68
Ga3 0.1703 0.7500 0.5596  2 Pd 2.80
Ga4 0.3297 0.2500 0.0596  2 Pd 2.80
Ga5 0.3387 0.5395 0.1027  3 Pd 2.62-2.68
Ga6 0.3387 0.9605 0.1027  3 Pd 2.62-2.68
Ga7 0.6613 0.0395 0.8973  3 Pd 2.62-2.68
Ga8 0.6613 0.4605 0.8973  3 Pd 2.62-2.68
Ga9 0.6703 0.7500 0.9404  2 Pd 2.80
Ga10 0.8297 0.2500 0.4404  2 Pd 2.80
Ga11 0.8387 0.5395 0.3973  3 Pd 2.62-2.68
Ga12 0.8387 0.9605 0.3973  3 Pd 2.62-2.68
Pd1 0.1276 0.5946 0.3768  4 Ga 2.62-2.80
Pd2 0.1276 0.9054 0.3768  4 Ga 2.62-2.80
Pd3 0.3724 0.0946 0.8768  4 Ga 2.62-2.80
Pd4 0.3724 0.4054 0.8768  4 Ga 2.62-2.80
Pd5 0.6276 0.5946 0.1232  4 Ga 2.62-2.80
Pd6 0.6276 0.9054 0.1232  4 Ga 2.62-2.80
Pd7 0.8724 0.0946 0.6232  4 Ga 2.62-2.80
Pd8 0.8724 0.4054 0.6232  4 Ga 2.62-2.80

Values from the calculation:
Crystal system: orthorhombic
N(E_F) in states/eV per cell: 28.98



Which structure is the least stable? The one labeled b.



## a
Below is crystalline Ba2Ga5Pd at its relaxed geometry, with properties calculated at the PBE level.

a b c (Å): 9.2166 9.2166 9.4406
angles (deg): 90.00 90.00 150.73
Closest atoms and distances in Å follow each position.
Positions (direct):
Ba1 0.0000 0.0000 0.0000  10 Ga 3.47-3.65, 4 Pd 3.49
Ba2 0.0000 0.0000 0.5000  10 Ga 3.47-3.65, 4 Pd 3.49
Ba3 0.2026 0.7974 0.7500  12 Ga 3.34-3.72, 2 Pd 3.44
Ba4 0.7974 0.2026 0.2500  12 Ga 3.34-3.72, 2 Pd 3.44
Ga1 0.1856 0.8144 0.1099  3 Ga 2.65-2.73
Ga2 0.1856 0.8144 0.3901  3 Ga 2.65-2.73
Ga3 0.3554 0.6446 0.0189  1 Pd 2.65, 3 Ga 2.73-2.75
Ga4 0.3554 0.6446 0.4811  1 Pd 2.65, 3 Ga 2.73-2.75
Ga5 0.4144 0.5856 0.7500  1 Pd 2.61, 2 Ga 2.75
Ga6 0.5856 0.4144 0.2500  1 Pd 2.61, 2 Ga 2.75
Ga7 0.6446 0.3554 0.5189  1 Pd 2.65, 3 Ga 2.73-2.75
Ga8 0.6446 0.3554 0.9811  1 Pd 2.65, 3 Ga 2.73-2.75
Ga9 0.8144 0.1856 0.6099  3 Ga 2.65-2.73
Ga10 0.8144 0.1856 0.8901  3 Ga 2.65-2.73
Pd1 0.4395 0.5605 0.2500  3 Ga 2.61-2.65
Pd2 0.5605 0.4395 0.7500  3 Ga 2.61-2.65

Values from the calculation:
Crystal system: orthorhombic
N(E_F) in states/eV per cell: 6.38



## b
Below is crystalline Ba2Ga5Pd at its relaxed geometry, with properties calculated at the PBE level.

a b c (Å): 6.2880 6.2880 10.7443
angles (deg): 90.00 90.00 90.00
Closest atoms and distances in Å follow each position.
Positions (direct):
Ba1 0.0000 0.5000 0.0000  10 Ga 3.23-3.53
Ba2 0.0000 0.5000 0.5000  10 Ga 3.23-3.53
Ba3 0.5000 0.0000 0.0000  10 Ga 3.23-3.53
Ba4 0.5000 0.0000 0.5000  10 Ga 3.23-3.53
Ga1 0.0000 0.0000 0.4324  1 Pd 2.67, 4 Ga 2.79
Ga2 0.2187 0.2187 0.2457  1 Pd 2.60, 3 Ga 2.75-2.79
Ga3 0.2187 0.7813 0.2457  1 Pd 2.60, 3 Ga 2.75-2.79
Ga4 0.2813 0.2813 0.7457  1 Pd 2.60, 3 Ga 2.75-2.79
Ga5 0.2813 0.7187 0.7457  1 Pd 2.60, 3 Ga 2.75-2.79
Ga6 0.5000 0.5000 0.9324  1 Pd 2.67, 4 Ga 2.79
Ga7 0.7187 0.2813 0.7457  1 Pd 2.60, 3 Ga 2.75-2.79
Ga8 0.7187 0.7187 0.7457  1 Pd 2.60, 3 Ga 2.75-2.79
Ga9 0.7813 0.2187 0.2457  1 Pd 2.60, 3 Ga 2.75-2.79
Ga10 0.7813 0.7813 0.2457  1 Pd 2.60, 3 Ga 2.75-2.79
Pd1 0.0000 0.0000 0.6811  5 Ga 2.60-2.67
Pd2 0.5000 0.5000 0.1811  5 Ga 2.60-2.67

Values from the calculation:
Crystal system: tetragonal
N(E_F) in states/eV per cell: 15.43



Which structure is the least stable? The one labeled b.



## a
Below is crystalline Ba3GaPd at its relaxed geometry, with properties calculated at the PBE level.

a b c (Å): 9.6578 6.6585 12.9578
angles (deg): 90.00 102.96 90.00
Closest atoms and distances in Å follow each position.
Positions (direct):
Ba1 0.0357 0.1213 0.3504  2 Pd 3.23-3.49, 3 Ga 3.48-3.54
Ba2 0.0357 0.3787 0.8504  2 Pd 3.23-3.49, 3 Ga 3.48-3.54
Ba3 0.3016 0.6876 0.4788  2 Pd 3.22-3.53, 2 Ga 3.49-3.52
Ba4 0.3016 0.8124 0.9788  2 Pd 3.22-3.53, 2 Ga 3.49-3.52
Ba5 0.3748 0.1702 0.7067  2 Pd 3.30-3.46, 1 Ga 3.40
Ba6 0.3748 0.3298 0.2067  2 Pd 3.30-3.46, 1 Ga 3.40
Ba7 0.6252 0.6702 0.7933  2 Pd 3.30-3.46, 1 Ga 3.40
Ba8 0.6252 0.8298 0.2933  2 Pd 3.30-3.46, 1 Ga 3.40
Ba9 0.6984 0.1876 0.0212  2 Pd 3.22-3.53, 2 Ga 3.49-3.52
Ba10 0.6984 0.3124 0.5212  2 Pd 3.22-3.53, 2 Ga 3.49-3.52
Ba11 0.9643 0.6213 0.1496  2 Pd 3.23-3.49, 3 Ga 3.48-3.54
Ba12 0.9643 0.8787 0.6496  2 Pd 3.23-3.49, 3 Ga 3.48-3.54
Ga1 0.0667 0.0983 0.0870  1 Ga 2.67, 1 Pd 2.70
Ga2 0.0667 0.4017 0.5870  1 Ga 2.67, 1 Pd 2.70
Ga3 0.9333 0.5983 0.4130  1 Ga 2.67, 1 Pd 2.70
Ga4 0.9333 0.9017 0.9130  1 Ga 2.67, 1 Pd 2.70
Pd1 0.2593 0.6341 0.7171  1 Ga 2.70
Pd2 0.2593 0.8659 0.2171  1 Ga 2.70
Pd3 0.7407 0.1341 0.7829  1 Ga 2.70
Pd4 0.7407 0.3659 0.2829  1 Ga 2.70

Values from the calculation:
Crystal system: monoclinic
N(E_F) in states/eV per cell: 20.08



## b
Below is crystalline Ba3GaPd at its relaxed geometry, with properties calculated at the PBE level.

a b c (Å): 6.1231 6.1231 6.1231
angles (deg): 90.00 90.00 90.00
Closest atoms and distances in Å follow each position.
Positions (direct):
Ba1 0.0000 0.0000 0.5000  2 Pd 3.06
Ba2 0.0000 0.5000 0.0000  2 Pd 3.06
Ba3 0.5000 0.0000 0.0000  2 Pd 3.06
Ga1 0.5000 0.5000 0.5000  12 Ba 4.33
Pd1 0.0000 0.0000 0.0000  6 Ba 3.06

Values from the calculation:
Crystal system: cubic
N(E_F) in states/eV per cell: 3.38



Which structure is the least stable? The one labeled b.



## a
Below is crystalline Ba3Ga4Pd2 at its relaxed geometry, with properties calculated at the PBE level.

a b c (Å): 8.9087 8.9087 7.2305
angles (deg): 109.88 109.88 30.03
Closest atoms and distances in Å follow each position.
Positions (direct):
Ba1 0.0000 0.0000 0.0000  6 Ga 3.39-3.48, 4 Pd 3.53
Ba2 0.1523 0.1523 0.5728  7 Ga 3.48-3.72, 3 Pd 3.74-3.76
Ba3 0.8477 0.8477 0.4272  7 Ga 3.48-3.72, 3 Pd 3.74-3.76
Ga1 0.2127 0.2127 0.0977  3 Pd 2.55-2.57
Ga2 0.4777 0.4777 0.3206  1 Ga 2.43, 1 Pd 2.51
Ga3 0.5223 0.5223 0.6794  1 Ga 2.43, 1 Pd 2.51
Ga4 0.7873 0.7873 0.9023  3 Pd 2.55-2.57
Pd1 0.3477 0.3477 0.0206  4 Ga 2.51-2.57
Pd2 0.6523 0.6523 0.9794  4 Ga 2.51-2.57

Values from the calculation:
Crystal system: monoclinic
N(E_F) in states/eV per cell: 7.36



## b
Below is crystalline Ba3Ga4Pd2 at its relaxed geometry, with properties calculated at the PBE level.

a b c (Å): 4.4536 4.4536 30.0665
angles (deg): 90.00 90.00 120.00
Closest atoms and distances in Å follow each position.
Positions (direct):
Ba1 0.0000 0.0000 0.0746  6 Pd 3.41, 6 Ga 3.68-3.70
Ba2 0.0000 0.0000 0.2503  3 Pd 3.53, 9 Ga 3.54-3.69
Ba3 0.0000 0.0000 0.4129  9 Ga 3.55-3.67, 3 Pd 3.56
Ba4 0.0000 0.0000 0.5871  9 Ga 3.55-3.67, 3 Pd 3.56
Ba5 0.0000 0.0000 0.7497  3 Pd 3.53, 9 Ga 3.54-3.69
Ba6 0.0000 0.0000 0.9254  6 Pd 3.41, 6 Ga 3.68-3.70
Ga1 0.3333 0.6667 0.1631  3 Ga 2.57
Ga2 0.3333 0.6667 0.3313  3 Pd 2.57
Ga3 0.3333 0.6667 0.5000  3 Ga 2.57
Ga4 0.3333 0.6667 0.6687  3 Pd 2.57
Ga5 0.3333 0.6667 0.8369  3 Ga 2.57
Ga6 0.6667 0.3333 0.1624  3 Ga 2.57
Ga7 0.6667 0.3333 0.5000  3 Ga 2.57
Ga8 0.6667 0.3333 0.8376  3 Ga 2.57
Pd1 0.3333 0.6667 0.0000  3 Pd 2.57
Pd2 0.6667 0.3333 0.0000  3 Pd 2.57
Pd3 0.6667 0.3333 0.3309  3 Ga 2.57
Pd4 0.6667 0.3333 0.6691  3 Ga 2.57

Values from the calculation:
Crystal system: hexagonal
N(E_F) in states/eV per cell: 13.14



Which structure is the least stable? The one labeled a.